Record 1
{
  "formula": "YAg2SnS4",
  "functional": "PBE-GGA",
  "state": "relaxed",
  "sg": "P2/m (10)",
  "e_tot_ev_per_atom": -4.8440,
  "rho_g_cm3": 5.378,
  "e_form_raw_ev_per_atom": -0.759,
  "n_ef_per_ev_fu": 1.38,
  "lattice": [[6.627, 0.000, 0.000], [0.000, 3.963, 0.000], [-2.415, 0.000, 6.485]],
  "species": ["Y", "Ag", "Ag", "Sn", "S", "S", "S", "S"],
  "fractional_positions": [[0.000, 0.000, 0.000], [0.500, 0.000, 0.500], [0.500, 0.500, 0.000], [0.000, 0.500, 0.500], [0.242, 0.500, 0.250], [0.250, 0.000, 0.751], [0.750, 0.000, 0.249], [0.758, 0.500, 0.750]]
}


Record 2
{
  "formula": "ErBeRh2",
  "functional": "PBE-GGA",
  "state": "relaxed",
  "sg": "P4/mmm (123)",
  "e_tot_ev_per_atom": -6.3514,
  "rho_g_cm3": 10.436,
  "formation_enthalpy_0k_kj_per_mol_atoms": -58.2,
  "n_ef_per_ev_fu": 1.24,
  "lattice": [[3.130, 0.000, 0.000], [0.000, 3.130, 0.000], [0.000, 0.000, 6.206]],
  "species": ["Er", "Be", "Rh", "Rh"],
  "fractional_positions": [[0.000, 0.000, 0.000], [0.000, 0.000, 0.500], [0.500, 0.500, 0.289], [0.500, 0.500, 0.711]]
}


Record 3
{
  "formula": "CrCoAgSn2",
  "functional": "PBE-GGA",
  "state": "relaxed",
  "sg": "P4/mmm (123)",
  "e_tot_ev_per_atom": -4.2422,
  "rho_g_cm3": 5.595,
  "formation_enthalpy_0k_kj_per_mol_atoms": 123.0,
  "n_ef_per_ev_fu": 7.92,
  "lattice": [[5.182, 0.000, 0.000], [0.000, 5.182, 0.000], [0.000, 0.000, 5.043]],
  "species": ["Cr", "Co", "Ag", "Sn", "Sn"],
  "fractional_positions": [[0.000, 0.000, 0.000], [0.500, 0.500, 0.000], [0.000, 0.000, 0.500], [0.000, 0.500, 0.500], [0.500, 0.000, 0.500]]
}